[1]
Here is a relaxed structure of LiGeSeBr2 from the Alexandria database. Energies are from PBE.

Crystal system = tetragonal
Size of the total moment = 0.00 μB/f.u.

```
5
Lattice="5.4309 0.0000 0.0000 0.0000 5.4309 0.0000 0.0000 0.0000 5.0455" Properties=species:S:1:pos:R:3 pbc="T T T"
Ge 0.0000 0.0000 0.0000
Br 2.7155 0.0000 0.0000
Br 0.0000 2.7155 0.0000
Li 2.7155 2.7155 2.5228
Se 0.0000 0.0000 2.5228
```

---

[2]
Here is a relaxed structure of LiGeSe2Br from the Alexandria database. Energies are from PBE.

Crystal system = tetragonal
Size of the total moment = 0.00 μB/f.u.

```
5
Lattice="4.9710 0.0000 0.0000 0.0000 4.9710 0.0000 0.0000 0.0000 5.6815" Properties=species:S:1:pos:R:3 pbc="T T T"
Ge 0.0000 0.0000 0.0000
Br 0.0000 0.0000 2.8407
Li 2.4855 2.4855 2.8407
Se 0.0000 2.4855 0.0000
Se 2.4855 0.0000 0.0000
```

---

[3]
Here is a relaxed structure of LiGeSeBr2 from the Alexandria database. Energies are from PBE.

Crystal system = tetragonal
Size of the total moment = 0.00 μB/f.u.

```
5
Lattice="4.8779 0.0000 0.0000 0.0000 4.8779 0.0000 0.0000 0.0000 4.9889" Properties=species:S:1:pos:R:3 pbc="T T T"
Br 0.0000 2.4389 0.0000
Br 2.4389 0.0000 0.0000
Li 0.0000 0.0000 0.0000
Se 0.0000 0.0000 2.4945
Ge 2.4389 2.4389 2.4945
```

---

[4]
Here is a relaxed structure of LiGeSe2Br from the Alexandria database. Energies are from PBE.

Crystal system = tetragonal
Size of the total moment = 0.00 μB/f.u.

```
5
Lattice="4.5731 0.0000 0.0000 0.0000 4.5731 0.0000 0.0000 0.0000 5.4958" Properties=species:S:1:pos:R:3 pbc="T T T"
Br 0.0000 0.0000 2.7479
Se 2.2866 0.0000 0.0000
Se 0.0000 2.2866 0.0000
Ge 2.2866 2.2866 2.7479
Li 0.0000 0.0000 0.0000
```

---

[5]
Here is a relaxed structure of SrLi2GeBr6 from the Alexandria database. Energies are from PBE.

Crystal system = monoclinic
Size of the total moment = 0.00 μB/f.u.

```
20
Lattice="-1.3535 -7.1830 -4.0342 7.6601 -2.1762 -4.2827 3.7562 -6.6012 4.9061" Properties=species:S:1:pos:R:3 pbc="T T T"
Br 6.0822 -9.7805 -0.8985
Br 9.0221 -13.0148 -1.3184
Br 3.9805 -6.1800 -2.5123
Br 2.5654 -10.6085 -2.7914
Br 7.4974 -5.3520 -0.6194
Br 5.1075 -13.4707 -0.8585
Br 2.1978 -8.4398 0.3281
Br 10.3702 -8.6623 -0.8815
Br 7.8649 -7.5207 -3.7388
Br 4.9553 -2.4898 -2.5523
Br -0.3074 -7.2982 -2.5292
Br 1.0407 -2.9457 -2.0924
Ge 4.3963 -7.2879 1.5944
Ge 5.6665 -8.6726 -5.0052
Li 7.6656 -7.8253 -1.2333
Li 2.3972 -8.1352 -2.1775
Li 3.5081 -4.0515 -1.1823
Li 6.5547 -11.9090 -2.2284
Sr 3.4460 -11.1895 0.2213
Sr 6.6168 -4.7710 -3.6321
```

---

[6]
Here is a relaxed structure of LiTl2GeBr5 from the Alexandria database. Energies are from PBE.

Crystal system = orthorhombic
Size of the total moment = 0.00 μB/f.u.

```
18
Lattice="-2.2486 2.7259 2.3767 -5.7467 -8.0424 -0.0281 6.5744 -4.7386 11.6551" Properties=species:S:1:pos:R:3 pbc="T T T"
Br 0.0776 -2.9439 7.2652
Br 0.5848 -6.7717 8.3200
Br -3.1955 -2.4258 3.5743
Br 2.0781 -5.4490 12.0312
Br -0.4885 -0.9935 0.6774
Br -1.6349 -5.9496 5.2771
Br 4.0877 -2.4085 10.4451
Br -3.6068 -7.1338 8.5850
Br 1.6829 -9.4041 12.3782
Br -4.9287 -8.0645 4.5865
Tl 3.1579 -4.3510 7.9781
Tl -0.9615 -7.3894 11.3809
Tl -5.6732 -4.9151 4.0852
Tl 0.2062 -3.1454 3.8026
Ge -1.5778 -4.9094 7.9534
Ge -2.8152 -3.0034 0.7812
Li -3.0331 -7.9425 6.2400
Li 4.2250 -3.9957 12.3955
```

---

[7]
Here is a relaxed structure of Li3Tl2GeBr8 from the Alexandria database. Energies are from PBE.

Crystal system = trigonal
Size of the total moment = 0.00 μB/f.u.

```
14
Lattice="-2.4432 -2.0765 7.7823 -3.3756 -7.5685 1.4725 4.8050 -5.9534 4.4717" Properties=species:S:1:pos:R:3 pbc="T T T"
Br 2.3854 -7.0827 5.8122
Br 1.2313 -8.0637 9.4885
Br -0.6922 -3.7214 3.3414
Br -3.4429 -8.8107 8.1774
Br -2.0978 -7.6675 3.8931
Br -1.5845 -4.6440 7.3668
Br 0.0985 -12.0475 10.4714
Br 0.7908 -10.6581 6.5078
Ge -3.1729 -10.7193 9.7988
Li 3.4175 -6.9973 8.3092
Li 2.9651 -9.6620 5.2476
Li 1.7796 -10.6696 9.0237
Tl 2.1024 -4.8561 3.9160
Tl -0.6114 -7.7568 6.8417
```

---

[8]
Here is a relaxed structure of LiTl2GeBr6 from the Alexandria database. Energies are from PBE.

Crystal system = trigonal
Size of the total moment = 0.00 μB/f.u.

```
10
Lattice="7.3374 -0.0003 0.0024 3.6684 6.3527 0.0001 3.6707 2.1161 7.9549" Properties=species:S:1:pos:R:3 pbc="T T T"
Br 5.8673 6.5959 1.9855
Br 8.8536 6.7189 5.1891
Br 10.1191 4.3270 1.9881
Br 6.0293 1.7792 1.9861
Br 8.7332 1.6802 5.1896
Br 4.4276 4.3048 5.1892
Li 3.6677 2.1166 3.5000
Tl 3.6719 2.1163 7.5510
Tl 7.3373 4.2343 3.6943
Ge 11.0071 6.3515 3.6346
```

---

no.,raw total energy (eV/atom)
1,-3.066
2,-3.232
3,-2.792
4,-2.950
5,-3.375
6,-3.093
7,-2.991
8,-2.921